KBr2O, relaxed, DFT PBE-GGA; volume = 143.6 Å³/cell; energy relative to the elements, uncorrected = 0.19 eV per atom; energy = -0.1584 Ry per atom
1.0
2.5392 0.0000 8.5730
-1.2696 2.1991 8.5730
-1.2696 -2.1991 8.5730
O Br K
1 2 1
direct
0.5000 0.5000 0.5000
0.1153 0.1153 0.1153
0.8847 0.8847 0.8847
0.0000 0.0000 0.0000